# Er3Mg3TlHg2 | the Open Quantum Materials Database | PBE | relaxed
data_Er3Mg3TlHg2
_symmetry_space_group_name_H-M 'P -6 2 m'
_symmetry_Int_Tables_number 189
_symmetry_space_group_name_Hall 'P -6 -2'
_cell_length_a 7.4466
_cell_length_b 7.4466
_cell_length_c 4.5748
_cell_angle_alpha 90.00
_cell_angle_beta 90.00
_cell_angle_gamma 120.00
loop_
_atom_site_label
_atom_site_type_symbol
_atom_site_fract_x
_atom_site_fract_y
_atom_site_fract_z
Er1 Er 0.0000 0.5725 0.0000
Mg1 Mg 0.0000 0.2471 0.5000
Tl1 Tl 0.0000 0.0000 0.0000
Hg1 Hg 0.3333 0.6667 0.5000
# **Electronic total energy**: -2.71 eV/atom